*i*
{
  "formula": "LiCrP4O12",
  "functional": "GGA+U",
  "state": "relaxed",
  "lattice_angstrom": [[8.619, -6.183, 0.000], [8.619, 6.183, 0.000], [-1.035, 0.000, 5.105]],
  "species": ["Li", "Li", "Cr", "Cr", "P", "P", "P", "P", "P", "P", "P", "P", "O", "O", "O", "O", "O", "O", "O", "O", "O", "O", "O", "O", "O", "O", "O", "O", "O", "O", "O", "O", "O", "O", "O", "O"],
  "fractional_positions": [[0.093, 0.093, 0.024], [0.907, 0.907, 0.976], [0.000, 0.500, 0.500], [0.500, 0.000, 0.500], [0.136, 0.706, 0.332], [0.194, 0.435, 0.037], [0.294, 0.864, 0.668], [0.435, 0.194, 0.037], [0.565, 0.806, 0.963], [0.706, 0.136, 0.332], [0.806, 0.565, 0.963], [0.864, 0.294, 0.668], [0.059, 0.820, 0.184], [0.065, 0.658, 0.508], [0.102, 0.404, 0.194], [0.163, 0.417, 0.744], [0.180, 0.941, 0.816], [0.211, 0.580, 0.133], [0.268, 0.732, 0.500], [0.342, 0.935, 0.492], [0.345, 0.345, 0.113], [0.404, 0.102, 0.194], [0.417, 0.163, 0.744], [0.420, 0.789, 0.867], [0.580, 0.211, 0.133], [0.583, 0.837, 0.256], [0.596, 0.898, 0.806], [0.655, 0.655, 0.887], [0.658, 0.065, 0.508], [0.732, 0.268, 0.500], [0.789, 0.420, 0.867], [0.820, 0.059, 0.184], [0.837, 0.583, 0.256], [0.898, 0.596, 0.806], [0.935, 0.342, 0.492], [0.941, 0.180, 0.816]],
  "volume_a3_per_fu": 272.04,
  "n_ef_per_ev_atom": 0.000
}

---

*ii*
{
  "formula": "LiCrP4O12",
  "functional": "GGA+U",
  "state": "relaxed",
  "lattice_angstrom": [[6.892, 0.000, 0.000], [0.000, 8.720, 0.000], [-0.968, 0.000, 7.101]],
  "species": ["Li", "Li", "Cr", "Cr", "P", "P", "P", "P", "P", "P", "P", "P", "O", "O", "O", "O", "O", "O", "O", "O", "O", "O", "O", "O", "O", "O", "O", "O", "O", "O", "O", "O", "O", "O", "O", "O"],
  "fractional_positions": [[0.205, 0.000, 0.341], [0.795, 0.500, 0.659], [0.231, 0.732, 0.752], [0.769, 0.232, 0.248], [0.073, 0.530, 0.383], [0.087, 0.181, 0.969], [0.434, 0.389, 0.932], [0.448, 0.686, 0.398], [0.552, 0.186, 0.602], [0.566, 0.889, 0.068], [0.913, 0.681, 0.031], [0.927, 0.030, 0.617], [0.000, 0.372, 0.331], [0.000, 0.872, 0.669], [0.055, 0.154, 0.743], [0.066, 0.571, 0.589], [0.114, 0.725, 0.987], [0.188, 0.055, 0.081], [0.218, 0.333, 0.963], [0.291, 0.548, 0.330], [0.328, 0.796, 0.504], [0.368, 0.122, 0.506], [0.405, 0.544, 0.839], [0.435, 0.876, 0.882], [0.483, 0.768, 0.206], [0.517, 0.268, 0.794], [0.565, 0.376, 0.118], [0.595, 0.044, 0.161], [0.632, 0.622, 0.494], [0.672, 0.296, 0.496], [0.709, 0.048, 0.670], [0.782, 0.833, 0.037], [0.812, 0.555, 0.919], [0.886, 0.225, 0.013], [0.934, 0.071, 0.411], [0.945, 0.654, 0.257]],
  "volume_a3_per_fu": 213.37,
  "n_ef_per_ev_atom": 0.000
}

---

*iii*
{
  "formula": "LiCrP4O12",
  "functional": "GGA+U",
  "state": "relaxed",
  "lattice_angstrom": [[4.019, -5.676, 0.000], [4.019, 5.676, 0.000], [-0.332, 0.000, 9.552]],
  "species": ["Li", "Li", "Cr", "Cr", "P", "P", "P", "P", "P", "P", "P", "P", "O", "O", "O", "O", "O", "O", "O", "O", "O", "O", "O", "O", "O", "O", "O", "O", "O", "O", "O", "O", "O", "O", "O", "O"],
  "fractional_positions": [[0.170, 0.830, 0.750], [0.830, 0.170, 0.250], [0.114, 0.886, 0.250], [0.886, 0.114, 0.750], [0.197, 0.279, 0.027], [0.268, 0.620, 0.463], [0.279, 0.197, 0.527], [0.380, 0.732, 0.037], [0.620, 0.268, 0.963], [0.721, 0.803, 0.473], [0.732, 0.380, 0.537], [0.803, 0.721, 0.973], [0.057, 0.288, 0.908], [0.102, 0.142, 0.147], [0.126, 0.644, 0.348], [0.142, 0.102, 0.647], [0.213, 0.374, 0.461], [0.268, 0.706, 0.605], [0.288, 0.057, 0.408], [0.294, 0.732, 0.895], [0.308, 0.500, 0.096], [0.356, 0.874, 0.152], [0.374, 0.213, 0.961], [0.500, 0.308, 0.596], [0.500, 0.692, 0.404], [0.626, 0.787, 0.039], [0.644, 0.126, 0.848], [0.692, 0.500, 0.904], [0.706, 0.268, 0.105], [0.712, 0.943, 0.592], [0.732, 0.294, 0.395], [0.787, 0.626, 0.539], [0.858, 0.898, 0.353], [0.874, 0.356, 0.652], [0.898, 0.858, 0.853], [0.943, 0.712, 0.092]],
  "volume_a3_per_fu": 217.93,
  "n_ef_per_ev_atom": 0.000
}

---

Top of the stability list: *i*, leading by 7 meV/atom.